# 1
# Nb2NiIr | Alexandria via LeMat-Bulk | PBE-GGA | relaxed
# N(E_F) in states/eV/f.u.: 3.55
# Total moment in μB per formula unit: 0.00
# Calculated total energy in eV for the cell shown: -66.83
data_Nb2NiIr
_cell_length_a 3.9253
_cell_length_b 3.9253
_cell_length_c 9.2611
_cell_angle_alpha 77.76
_cell_angle_beta 77.76
_cell_angle_gamma 90.00
_space_group_name_H-M_alt 'P 1'
_space_group_IT_number 1
_space_group_name_Hall 'P 1'
loop_
_atom_site_label
_atom_site_fract_x
_atom_site_fract_y
_atom_site_fract_z
Nb1 0.3750 0.3802 0.7500
Nb2 0.6198 0.1250 0.2500
Ir1 0.0000 0.0000 0.0000
Ni1 0.2500 0.7500 0.5000
Nb3 0.8750 0.8698 0.7500
Ni2 0.5000 0.5000 0.0000
Nb4 0.1302 0.6250 0.2500
Ir2 0.7500 0.2500 0.5000

***

# 2
# Al2BIr | Alexandria via LeMat-Bulk | PBE-GGA | relaxed
# N(E_F) in states/eV/f.u.: 2.50
# Total moment in μB per formula unit: 0.00
# Calculated total energy in eV for the cell shown: -45.20
data_Al2BIr
_cell_length_a 7.6299
_cell_length_b 7.6299
_cell_length_c 5.7749
_cell_angle_alpha 48.65
_cell_angle_beta 48.65
_cell_angle_gamma 90.00
_space_group_name_H-M_alt 'P 1'
_space_group_IT_number 1
_space_group_name_Hall 'P 1'
loop_
_atom_site_label
_atom_site_fract_x
_atom_site_fract_y
_atom_site_fract_z
Al1 0.8750 0.7460 0.7500
Al2 0.2540 0.6250 0.2500
B1 0.5000 0.5000 0.0000
Ir1 0.7500 0.2500 0.5000
Al3 0.4960 0.1250 0.2500
B2 0.2500 0.7500 0.5000
Al4 0.3750 0.5040 0.7500
Ir2 0.0000 0.0000 0.0000

***

# 3
# HfNi4Ir | Alexandria via LeMat-Bulk | PBE-GGA | relaxed
# N(E_F) in states/eV/f.u.: 6.73
# Total moment in μB per formula unit: 0.84
# Calculated total energy in eV for the cell shown: -44.36
data_HfNi4Ir
_cell_length_a 4.7638
_cell_length_b 4.7638
_cell_length_c 4.7638
_cell_angle_alpha 60.00
_cell_angle_beta 60.00
_cell_angle_gamma 60.00
_space_group_name_H-M_alt 'P 1'
_space_group_IT_number 1
_space_group_name_Hall 'P 1'
loop_
_atom_site_label
_atom_site_fract_x
_atom_site_fract_y
_atom_site_fract_z
Ir1 0.2500 0.2500 0.2500
Ni1 0.6240 0.6240 0.1281
Ni2 0.1281 0.6240 0.6240
Hf1 0.0000 0.0000 0.0000
Ni3 0.6240 0.1281 0.6240
Ni4 0.6240 0.6240 0.6240

***

no.,formation energy (eV per atom)
1,0.34
2,0.11
3,-0.40